*w*
Pa2NiC | PBE | optimized geometry

Computed properties:
Density of states at the Fermi level: 1.052 states/eV/atom

a b c (Å): 3.459 5.376 7.527
angles (deg): 109.56 90.00 90.00
Element x y z (fractional)
C  0.250  0.342  0.220
C  0.750  0.658  0.780
Pa  0.250  0.817  0.071
Pa  0.750  0.226  0.438
Pa  0.750  0.183  0.929
Pa  0.250  0.774  0.562
Ni  0.250  0.397  0.744
Ni  0.750  0.603  0.256

=====

*x*
Pa2NiC | PBE | optimized geometry

Computed properties:
Density of states at the Fermi level: 1.611 states/eV/atom

a b c (Å): 3.470 3.470 7.153
angles (deg): 75.96 75.96 60.00
Element x y z (fractional)
C  0.000  0.000  0.000
Pa  0.738  0.738  0.787
Pa  0.262  0.262  0.213
Ni  0.500  0.500  0.500

=====

Bottom line: *x*, by a margin of 136 meV per atom.

=====

*w*
Ni2PbC | PBE | optimized geometry

Computed properties:
Density of states at the Fermi level: 0.583 states/eV/atom

a b c (Å): 4.724 4.724 6.588
angles (deg): 68.99 68.99 90.00
Element x y z (fractional)
Ni  0.415  0.125  0.250
Ni  0.375  0.585  0.750
Ni  0.335  0.625  0.250
Ni  0.875  0.665  0.750
Pb  0.000  0.000  0.000
Pb  0.750  0.250  0.500
C  0.250  0.750  0.500
C  0.500  0.500  0.000

=====

*x*
Ni2PbC | PBE | optimized geometry

Computed properties:
Density of states at the Fermi level: 0.939 states/eV/atom

a b c (Å): 4.243 4.243 4.243
angles (deg): 60.00 60.00 60.00
Element x y z (fractional)
Ni  0.250  0.250  0.250
Ni  0.750  0.750  0.750
C  0.000  0.000  0.000
Pb  0.500  0.500  0.500

=====

Bottom line: *w*, by a margin of 905 meV per atom.

=====

*w*
Ni2TePbC | PBE | optimized geometry

Computed properties:
Density of states at the Fermi level: 1.690 states/eV/atom

a b c (Å): 4.746 5.929 4.746
angles (deg): 90.00 90.00 90.00
Element x y z (fractional)
C  0.500  0.500  0.500
Ni  0.000  0.000  0.500
Ni  0.500  0.000  0.000
Te  0.000  0.500  0.000
Pb  0.000  0.000  0.000

=====

*x*
Ni2TePbC | PBE | optimized geometry

Computed properties:
Density of states at the Fermi level: 0.990 states/eV/atom

a b c (Å): 4.728 4.398 4.728
angles (deg): 90.00 90.00 90.00
Element x y z (fractional)
Ni  0.500  0.000  0.000
Ni  0.000  0.000  0.500
Pb  0.500  0.500  0.500
C  0.000  0.500  0.000
Te  0.000  0.000  0.000

=====

Bottom line: *x*, by a margin of 1113 meV per atom.

=====

*w*
NiPdC2 | PBE | optimized geometry

Computed properties:
Density of states at the Fermi level: 0.521 states/eV/atom

a b c (Å): 4.456 4.456 5.635
angles (deg): 66.71 66.71 90.00
Element x y z (fractional)
Pd  0.750  0.250  0.500
Pd  0.000  0.000  0.000
Ni  0.500  0.500  0.000
Ni  0.250  0.750  0.500
C  0.875  0.843  0.750
C  0.593  0.125  0.250
C  0.375  0.407  0.750
C  0.157  0.625  0.250

=====

*x*
NiPdC2 | PBE | optimized geometry

Computed properties:
Density of states at the Fermi level: 0.688 states/eV/atom

a b c (Å): 3.769 3.769 3.769
angles (deg): 60.00 60.00 60.00
Element x y z (fractional)
Pd  0.500  0.500  0.500
Ni  0.000  0.000  0.000
C  0.750  0.750  0.750
C  0.250  0.250  0.250

=====

Bottom line: *w*, by a margin of 622 meV per atom.

=====

*w*
PmNi2C2 | PBE | optimized geometry

Computed properties:
Density of states at the Fermi level: 0.864 states/eV/atom

a b c (Å): 3.433 3.433 5.646
angles (deg): 107.75 107.75 89.83
Element x y z (fractional)
Ni  0.750  0.250  0.500
Ni  0.250  0.750  0.500
C  0.651  0.651  0.301
C  0.349  0.349  0.699
Pm  0.000  0.000  0.000

=====

*x*
PmNi2C2 | PBE | optimized geometry

Computed properties:
Density of states at the Fermi level: 0.424 states/eV/atom

a b c (Å): 3.736 5.011 7.029
angles (deg): 90.00 90.00 111.88
Element x y z (fractional)
C  0.196  0.393  0.151
C  0.196  0.393  0.349
C  0.804  0.607  0.849
C  0.804  0.607  0.651
Ni  0.341  0.682  0.557
Ni  0.341  0.682  0.943
Ni  0.659  0.318  0.443
Ni  0.659  0.318  0.057
Pm  0.929  0.859  0.250
Pm  0.071  0.141  0.750

=====

Bottom line: *x*, by a margin of 203 meV per atom.

=====

*w*
Pr2Ni4C | PBE | optimized geometry

Computed properties:
Density of states at the Fermi level: 0.783 states/eV/atom

a b c (Å): 5.117 5.117 5.833
angles (deg): 116.00 115.98 90.06
Element x y z (fractional)
Pr  0.250  0.750  0.500
Pr  0.750  0.250  0.500
C  0.000  0.000  0.000
Ni  0.742  0.259  0.000
Ni  0.259  0.741  0.000
Ni  0.259  0.259  0.000
Ni  0.741  0.741  0.000

=====

*x*
Pr2Ni4C | PBE | optimized geometry

Computed properties:
Density of states at the Fermi level: 1.022 states/eV/atom

a b c (Å): 3.878 3.878 8.299
angles (deg): 76.49 76.49 90.00
Element x y z (fractional)
Ni  0.120  0.120  0.760
Ni  0.000  0.500  0.000
Ni  0.880  0.880  0.240
Ni  0.500  0.000  0.000
C  0.000  0.000  0.000
Pr  0.661  0.661  0.678
Pr  0.339  0.339  0.322

=====

Bottom line: *x*, by a margin of 135 meV per atom.

=====

*w*
NiPt3C | PBE | optimized geometry

Computed properties:
Density of states at the Fermi level: 1.684 states/eV/atom

a b c (Å): 4.126 4.126 4.126
angles (deg): 90.00 90.00 90.00
Element x y z (fractional)
Ni  0.500  0.500  0.500
Pt  0.000  0.500  0.000
Pt  0.000  0.000  0.500
Pt  0.500  0.000  0.000
C  0.000  0.000  0.000

=====

*x*
NiPt3C | PBE | optimized geometry

Computed properties:
Density of states at the Fermi level: 2.260 states/eV/atom

a b c (Å): 4.529 4.529 4.529
angles (deg): 90.00 90.00 90.00
Element x y z (fractional)
C  0.500  0.500  0.500
Ni  0.000  0.000  0.000
Pt  0.000  0.000  0.500
Pt  0.000  0.500  0.000
Pt  0.500  0.000  0.000

=====

Bottom line: *w*, by a margin of 1830 meV per atom.

=====

*w*
NiPtC3 | PBE | optimized geometry

Computed properties:
Density of states at the Fermi level: 0.516 states/eV/atom

a b c (Å): 3.753 3.753 3.753
angles (deg): 90.00 90.00 90.00
Element x y z (fractional)
Ni  0.000  0.000  0.000
C  0.500  0.000  0.000
C  0.000  0.500  0.000
C  0.000  0.000  0.500
Pt  0.500  0.500  0.500

=====

*x*
NiPtC3 | PBE | optimized geometry

Computed properties:
Density of states at the Fermi level: 0.849 states/eV/atom

a b c (Å): 3.983 3.983 3.983
angles (deg): 90.00 90.00 90.00
Element x y z (fractional)
C  0.000  0.000  0.500
C  0.500  0.000  0.000
C  0.000  0.500  0.000
Pt  0.000  0.000  0.000
Ni  0.500  0.500  0.500

=====

Bottom line: *w*, by a margin of 374 meV per atom.